Entry 1:
Entry from Alexandria: a relaxed BaLa2YPd crystal (PBE-GGA).

Lattice parameters (Å, degrees): 5.816 5.816 5.786 90.00 90.00 90.00
Space group P4/mmm (No. 123)
Unique sites:
Ba 0.000 0.000 0.000 (multiplicity 1)
La 0.000 0.500 0.500 (multiplicity 2)
Y 0.500 0.500 0.000 (multiplicity 1)
Pd 0.500 0.500 0.500 (multiplicity 1)

Values from the calculation:
energy	-4.86	eV/atom
energy above the most stable polymorph in this dataset	0.000	kcal/mol of atoms
total moment	0.00	μB per atom
formation energy	-0.9	eV per formula unit
theoretical density	5.2	g cm⁻³


Entry 2:
Entry from Alexandria: a relaxed NaSrTiRh2 crystal (PBE-GGA).

Lattice parameters (Å, degrees): 4.663 4.663 5.676 90.00 90.00 90.00
Space group P4/mmm (No. 123)
Unique sites:
Na 0.000 0.000 0.000 (multiplicity 1)
Sr 0.500 0.500 0.000 (multiplicity 1)
Ti 0.500 0.500 0.500 (multiplicity 1)
Rh 0.000 0.500 0.500 (multiplicity 2)

Values from the calculation:
energy	-4.72	eV/atom
total moment	0.00	μB per atom
formation energy	2.0	eV per formula unit
theoretical density	4.9	g cm⁻³


Entry 3:
Entry from Alexandria: a relaxed Ca2CoTe crystal (PBE-GGA).

Lattice parameters (Å, degrees): 3.636 3.636 8.270 90.00 90.00 90.00
Space group P4mm (No. 99)
Unique sites:
Ca 0.000 0.000 0.000 (multiplicity 1)
Ca 0.500 0.500 0.381 (multiplicity 1)
Co 0.000 0.000 0.630 (multiplicity 1)
Te 0.500 0.500 0.751 (multiplicity 1)

Values from the calculation:
energy	-3.66	eV/atom
energy relative to the elements, uncorrected	-0.404	eV/f.u.
total moment	0.42	μB per atom
theoretical density	4.0	g cm⁻³


Entry 4:
Entry from Alexandria: a relaxed TmCdCuRh crystal (PBE-GGA).

Lattice parameters (Å, degrees): 6.620 6.620 6.620 90.00 90.00 90.00
Space group F-43m (No. 216)
Unique sites:
Tm 0.000 0.000 0.000 (multiplicity 4)
Cd 0.000 0.000 0.500 (multiplicity 4)
Cu 0.250 0.250 0.750 (multiplicity 4)
Rh 0.250 0.250 0.250 (multiplicity 4)

Values from the calculation:
energy	-4.60	eV/atom
total moment	0.00	μB per atom
formation energy	-1.6	eV per formula unit
theoretical density	10.3	g cm⁻³


- Among the records above, which one has the lowest theoretical density?
  Ca2CoTe


- total moment of number 2 (NaSrTiRh2)?
  0.00 μB per atom


- The lowest energy belongs to which entry?
  BaLa2YPd